No. 1
The following is a PBE-GGA calculation of an optimized crystal structure of Be2In2Ag, from the Alexandria database.

a = 6.512 Å, b = 6.512 Å, c = 3.994 Å
α = 90.00°, β = 90.00°, γ = 90.00°
Positions (direct):
1 Be 0.622 0.122 0.000
2 Be 0.122 0.378 0.000
3 Be 0.878 0.622 0.000
4 Be 0.378 0.878 0.000
5 In 0.826 0.326 0.500
6 In 0.674 0.826 0.500
7 In 0.326 0.174 0.500
8 In 0.174 0.674 0.500
9 Ag 0.000 0.000 0.000
10 Ag 0.500 0.500 0.000

SG   No. 127
ΔH_f (0 K)   7.481 kcal/mol of atoms
Volume   84.69 Å³/f.u.

***

No. 2
The following is a PBE-GGA calculation of an optimized crystal structure of Mg5Cr3, from the Alexandria database.

a = 8.175 Å, b = 8.176 Å, c = 8.265 Å
α = 96.76°, β = 96.76°, γ = 140.71°
Site moments in Bohr magnetons follow the coordinates.
Positions (direct):
1 Mg 0.066 0.220 0.300  -0.02
2 Mg 0.280 0.434 0.700  -0.02
3 Mg 0.933 0.780 0.700  -0.02
4 Mg 0.240 0.740 0.482  -0.01
5 Mg 0.192 0.894 0.150  -0.02
6 Mg 0.807 0.106 0.850  -0.02
7 Mg 0.394 0.693 0.150  -0.02
8 Mg 0.760 0.260 0.518  -0.01
9 Mg 0.719 0.566 0.300  -0.02
10 Mg 0.605 0.307 0.851  -0.02
11 Cr 0.742 0.757 0.000  3.65
12 Cr 0.257 0.243 0.000  3.65
13 Cr 0.328 0.171 0.500  3.77
14 Cr 0.767 0.267 0.156  3.74
15 Cr 0.232 0.732 0.844  3.74
16 Cr 0.671 0.829 0.500  3.77

SG   No. 12
ΔH_f (0 K)   11.185 kcal/mol of atoms
Volume   163.85 Å³/f.u.

***

No. 3
The following is a PBE-GGA calculation of an optimized crystal structure of Ca5SnO8, from the Alexandria database.

a = 6.141 Å, b = 6.141 Å, c = 6.141 Å
α = 110.67°, β = 107.11°, γ = 110.67°
Site moments in Bohr magnetons follow the coordinates.
Positions (direct):
1 O 0.591 0.860 0.863  0.04
2 O 0.003 0.140 0.732  0.04
3 O 0.137 0.729 0.997  0.04
4 O 0.491 0.596 0.212  0.38
5 O 0.788 0.279 0.385  0.38
6 O 0.105 0.721 0.509  0.38
7 O 0.268 0.271 0.409  0.04
8 O 0.615 0.404 0.895  0.38
9 Ca 0.500 0.000 0.500  0.03
10 Ca 0.752 0.635 0.626  0.00
11 Ca 0.992 0.365 0.117  0.00
12 Ca 0.883 0.875 0.248  0.00
13 Ca 0.374 0.125 0.008  0.00
14 Sn 0.250 0.500 0.750  -0.01

SG   No. 82
Formation energy from raw total energies   -219.9 kJ/mol of atoms
Volume   178.09 Å³/f.u.

***

No. 4
The following is a PBE-GGA calculation of an optimized crystal structure of Ba2ScRh, from the Alexandria database.

a = 10.332 Å, b = 10.332 Å, c = 10.332 Å
α = 22.79°, β = 22.79°, γ = 22.79°
Site moments in Bohr magnetons follow the coordinates.
Positions (direct):
1 Rh 0.250 0.250 0.250  0.00
2 Ba 0.980 0.980 0.980  0.04
3 Ba 0.520 0.520 0.520  0.04
4 Sc 0.750 0.750 0.750  0.75

SG   No. 166
ΔH_f (0 K)   7.613 kcal/mol of atoms
Volume   145.19 Å³/f.u.

***

No. 5
The following is a PBE-GGA calculation of an optimized crystal structure of Rb3Ba12Au5, from the Alexandria database.

a = 18.710 Å, b = 18.710 Å, c = 18.710 Å
α = 109.47°, β = 109.47°, γ = 109.47°
Positions (direct):
1 Au 0.000 0.500 0.500
2 Au 0.625 0.875 0.250
3 Au 0.375 0.250 0.125
4 Au 0.250 0.875 0.125
5 Au 0.125 0.375 0.250
6 Au 0.500 0.500 0.000
7 Au 0.125 0.750 0.375
8 Au 0.000 0.000 0.000
9 Au 0.750 0.125 0.875
10 Au 0.500 0.000 0.000
11 Au 0.000 0.000 0.500
12 Au 0.875 0.250 0.625
13 Au 0.750 0.625 0.375
14 Au 0.500 0.000 0.500
15 Au 0.625 0.750 0.875
16 Au 0.250 0.375 0.625
17 Au 0.500 0.500 0.500
18 Au 0.375 0.125 0.750
19 Au 0.000 0.500 0.000
20 Au 0.875 0.625 0.750
21 Ba 0.908 0.818 0.813
22 Ba 0.410 0.405 0.592
23 Ba 0.182 0.090 0.995
24 Ba 0.910 0.092 0.905
25 Ba 0.318 0.505 0.410
26 Ba 0.005 0.410 0.818
27 Ba 0.505 0.318 0.910
28 Ba 0.595 0.590 0.908
29 Ba 0.090 0.182 0.495
30 Ba 0.908 0.090 0.595
31 Ba 0.905 0.313 0.495
32 Ba 0.405 0.410 0.092
33 Ba 0.090 0.908 0.095
34 Ba 0.092 0.182 0.187
35 Ba 0.592 0.905 0.410
36 Ba 0.187 0.505 0.595
37 Ba 0.590 0.995 0.682
38 Ba 0.408 0.095 0.590
39 Ba 0.095 0.687 0.505
40 Ba 0.182 0.092 0.687
41 Ba 0.682 0.187 0.592
42 Ba 0.313 0.408 0.818
43 Ba 0.005 0.595 0.687
44 Ba 0.505 0.187 0.095
45 Ba 0.910 0.818 0.505
46 Ba 0.818 0.908 0.313
47 Ba 0.682 0.495 0.590
48 Ba 0.590 0.595 0.408
49 Ba 0.905 0.592 0.910
50 Ba 0.095 0.408 0.090
51 Ba 0.995 0.590 0.182
52 Ba 0.595 0.005 0.187
53 Ba 0.405 0.995 0.813
54 Ba 0.410 0.005 0.318
55 Ba 0.592 0.687 0.682
56 Ba 0.092 0.910 0.405
57 Ba 0.995 0.405 0.313
58 Ba 0.187 0.682 0.092
59 Ba 0.818 0.910 0.005
60 Ba 0.313 0.905 0.995
61 Ba 0.408 0.313 0.318
62 Ba 0.495 0.682 0.090
63 Ba 0.495 0.813 0.905
64 Ba 0.813 0.495 0.405
65 Ba 0.687 0.592 0.182
66 Ba 0.318 0.813 0.408
67 Ba 0.687 0.095 0.005
68 Ba 0.813 0.318 0.908
69 Rb 0.875 0.125 0.250
70 Rb 0.750 0.875 0.625
71 Rb 0.875 0.750 0.125
72 Rb 0.250 0.125 0.375
73 Rb 0.375 0.750 0.625
74 Rb 0.375 0.625 0.250
75 Rb 0.625 0.375 0.750
76 Rb 0.750 0.375 0.125
77 Rb 0.625 0.250 0.375
78 Rb 0.125 0.250 0.875
79 Rb 0.125 0.875 0.750
80 Rb 0.250 0.625 0.875

SG   No. 230
ΔH_f (0 K)   -3.598 kcal/mol of atoms
Volume   1260.50 Å³/f.u.

***

No. 6
The following is a PBE-GGA calculation of an optimized crystal structure of Ba3Bi4Au4, from the Alexandria database.

a = 5.095 Å, b = 4.980 Å, c = 14.689 Å
α = 99.76°, β = 99.99°, γ = 90.00°
Positions (direct):
1 Ba 0.344 0.844 0.688
2 Ba 0.656 0.156 0.312
3 Ba 0.000 0.000 0.000
4 Bi 0.555 0.555 0.109
5 Bi 0.803 0.303 0.606
6 Bi 0.197 0.697 0.394
7 Bi 0.445 0.445 0.891
8 Au 0.902 0.402 0.805
9 Au 0.747 0.747 0.493
10 Au 0.098 0.598 0.195
11 Au 0.253 0.253 0.507

SG   No. 71
ΔH_f (0 K)   -14.067 kcal/mol of atoms
Volume   361.56 Å³/f.u.

***

Question: Look up the volume of the first one.
Answer: 84.69 Å³/f.u.

***

Question: Which of these has the lowest volume?
Answer: Be2In2Ag

***

Question: The lowest volume belongs to which entry?
Answer: Be2In2Ag

***

Question: Among the records above, which one has the highest volume?
Answer: Rb3Ba12Au5